The following is a PBE calculation of a relaxed Tb3In4Au2 crystal, from Alexandria.

Cell and atoms, written as POSCAR:
```
Tb3In4Au2
1.0
5.588 -2.404 0.000
5.588 2.404 0.000
-3.962 0.000 8.186
Tb In Au
3 4 2
direct
0.000 0.000 0.000
0.324 0.324 0.350
0.676 0.676 0.650
0.029 0.029 0.362
0.265 0.265 0.923
0.735 0.735 0.077
0.971 0.971 0.638
0.398 0.398 0.727
0.602 0.602 0.273
```

Values from the calculation:
- Magnetization: 0.00 μB/f.u.
- E_tot: -4.0798 eV per atom
- Crystal system: monoclinic


The following is a PBE calculation of a relaxed Tb6In2Au crystal, from Alexandria.

Cell and atoms, written as POSCAR:
```
Tb6In2Au
1.0
-2.555 3.655 7.651
2.555 -3.655 7.651
2.555 3.655 -7.651
Tb In Au
6 2 1
direct
0.081 0.339 0.742
0.236 0.000 0.236
0.403 0.661 0.742
0.597 0.339 0.258
0.764 0.000 0.764
0.919 0.661 0.258
0.333 0.833 0.500
0.667 0.167 0.500
0.000 0.500 0.500
```

Values from the calculation:
- Magnetization: 0.00 μB/f.u.
- E_tot: -4.2675 eV per atom
- Crystal system: orthorhombic


The following is a PBE calculation of a relaxed TbIn2Au2 crystal, from Alexandria.

Cell and atoms, written as POSCAR:
```
TbIn2Au2
1.0
4.945 0.000 0.000
0.000 4.911 0.000
-0.004 0.000 9.889
Tb In Au
2 4 4
direct
0.249 0.250 0.324
0.751 0.750 0.676
0.250 0.250 0.672
0.251 0.250 0.990
0.749 0.750 0.010
0.750 0.750 0.328
0.249 0.750 0.155
0.251 0.750 0.515
0.749 0.250 0.485
0.751 0.250 0.845
```

Values from the calculation:
- Magnetization: 0.00 μB/f.u.
- E_tot: -3.8731 eV per atom
- Crystal system: monoclinic


Repeat the third record exactly.
The following is a PBE calculation of a relaxed TbIn2Au2 crystal, from Alexandria.

Cell and atoms, written as POSCAR:
```
TbIn2Au2
1.0
4.945 0.000 0.000
0.000 4.911 0.000
-0.004 0.000 9.889
Tb In Au
2 4 4
direct
0.249 0.250 0.324
0.751 0.750 0.676
0.250 0.250 0.672
0.251 0.250 0.990
0.749 0.750 0.010
0.750 0.750 0.328
0.249 0.750 0.155
0.251 0.750 0.515
0.749 0.250 0.485
0.751 0.250 0.845
```

Values from the calculation:
- Magnetization: 0.00 μB/f.u.
- E_tot: -3.8731 eV per atom
- Crystal system: monoclinic


Q: What is the magnetization in the first record?
A: 0.00 μB/f.u.


Q: Among the records above, which one has the highest E_tot?
A: TbIn2Au2